Record 1
# PBE CuP2S2, optimized geometry
# offset from the most stable computed form: 0 kJ/mol of formula units
# total magnetic moment: 0.63 μB per formula unit
# energy relative to the elements, uncorrected: 843 meV per atom
data_CuP2S2
_chemical_formula_sum 'Cu1 P2 S2'
_cell_length_a 4.510
_cell_length_b 4.510
_cell_length_c 4.447
_cell_angle_alpha 90.00
_cell_angle_beta 90.00
_cell_angle_gamma 90.00
_symmetry_space_group_name_H-M 'P 4/m m m'
_symmetry_Int_Tables_number 123
_symmetry_space_group_name_Hall '-P 4 2'
loop_
_atom_site_label
_atom_site_type_symbol
_atom_site_fract_x
_atom_site_fract_y
_atom_site_fract_z
Cu1 Cu 0.000 0.000 0.000
P1 P 0.500 0.500 0.000
P2 P 0.500 0.500 0.500
S1 S 0.000 0.500 0.500



Record 2
# PBE K8Hg2O, optimized geometry
# offset from the most stable computed form: 0 kJ/mol of formula units
# total magnetic moment: 0.00 μB per formula unit
# energy relative to the elements, uncorrected: -368 meV per atom
data_K8Hg2O
_chemical_formula_sum 'K16 Hg4 O2'
_cell_length_a 14.682
_cell_length_b 7.930
_cell_length_c 9.412
_cell_angle_alpha 90.00
_cell_angle_beta 94.02
_cell_angle_gamma 90.00
_symmetry_space_group_name_H-M 'C 1 2/m 1'
_symmetry_Int_Tables_number 12
_symmetry_space_group_name_Hall '-C 2y'
loop_
_atom_site_label
_atom_site_type_symbol
_atom_site_fract_x
_atom_site_fract_y
_atom_site_fract_z
K1 K 0.043 0.227 0.197
K2 K 0.173 0.000 0.918
K3 K 0.176 0.500 0.579
Hg1 Hg 0.100 0.000 0.541
O1 O 0.000 0.000 0.000



Record 3
# PBE GaPdRh, optimized geometry
# offset from the most stable computed form: 0 kJ/mol of formula units
# formation energy from the elements: -0.46 eV per atom
# total magnetic moment: 0.00 μB per formula unit
data_GaPdRh
_chemical_formula_sum 'Ga2 Pd2 Rh2'
_cell_length_a 2.961
_cell_length_b 2.961
_cell_length_c 9.979
_cell_angle_alpha 90.00
_cell_angle_beta 90.00
_cell_angle_gamma 90.00
_symmetry_space_group_name_H-M 'I 4 m m'
_symmetry_Int_Tables_number 107
_symmetry_space_group_name_Hall 'I 4 -2'
loop_
_atom_site_label
_atom_site_type_symbol
_atom_site_fract_x
_atom_site_fract_y
_atom_site_fract_z
Ga1 Ga 0.000 0.000 0.000
Pd1 Pd 0.000 0.000 0.340
Rh1 Rh 0.000 0.000 0.645



Record 4
# PBE FeBiBr2, optimized geometry
# offset from the most stable computed form: 172 kJ/mol of formula units
# total magnetic moment: 3.04 μB per formula unit
# energy relative to the elements, uncorrected: 531 meV per atom
data_FeBiBr2
_chemical_formula_sum 'Fe4 Bi4 Br8'
_cell_length_a 7.316
_cell_length_b 7.316
_cell_length_c 7.316
_cell_angle_alpha 90.00
_cell_angle_beta 90.00
_cell_angle_gamma 90.00
_symmetry_space_group_name_H-M 'F m -3 m'
_symmetry_Int_Tables_number 225
_symmetry_space_group_name_Hall '-F 4 2 3'
loop_
_atom_site_label
_atom_site_type_symbol
_atom_site_fract_x
_atom_site_fract_y
_atom_site_fract_z
Fe1 Fe 0.000 0.000 0.000
Bi1 Bi 0.000 0.000 0.500
Br1 Br 0.250 0.250 0.250



Record 5
# PBE Dy9Ho4Cd11, optimized geometry
# formation energy from the elements: -0.23 eV per atom
# total magnetic moment: 1.30 μB per formula unit
data_Dy9Ho4Cd11
_chemical_formula_sum 'Dy18 Ho8 Cd22'
_cell_length_a 16.017
_cell_length_b 22.583
_cell_length_c 3.521
_cell_angle_alpha 90.00
_cell_angle_beta 90.00
_cell_angle_gamma 90.00
_symmetry_space_group_name_H-M 'C m m m'
_symmetry_Int_Tables_number 65
_symmetry_space_group_name_Hall '-C 2 2'
loop_
_atom_site_label
_atom_site_type_symbol
_atom_site_fract_x
_atom_site_fract_y
_atom_site_fract_z
Dy1 Dy 0.000 0.000 0.000
Dy2 Dy 0.113 0.233 0.000
Dy3 Dy 0.114 0.408 0.000
Ho1 Ho 0.165 0.085 0.000
Cd1 Cd 0.000 0.130 0.500
Cd2 Cd 0.000 0.322 0.500
Cd3 Cd 0.000 0.500 0.500
Cd4 Cd 0.218 0.500 0.500
Cd5 Cd 0.232 0.319 0.500



Record 6
# PBE GaSbMo2C, optimized geometry
# total magnetic moment: 0.00 μB per formula unit
# energy relative to the elements, uncorrected: 697 meV per atom
data_GaSbMo2C
_chemical_formula_sum 'Ga1 Sb1 Mo2 C1'
_cell_length_a 4.181
_cell_length_b 4.181
_cell_length_c 4.773
_cell_angle_alpha 90.00
_cell_angle_beta 90.00
_cell_angle_gamma 90.00
_symmetry_space_group_name_H-M 'P 4/m m m'
_symmetry_Int_Tables_number 123
_symmetry_space_group_name_Hall '-P 4 2'
loop_
_atom_site_label
_atom_site_type_symbol
_atom_site_fract_x
_atom_site_fract_y
_atom_site_fract_z
Ga1 Ga 0.000 0.000 0.000
Sb1 Sb 0.500 0.500 0.000
Mo1 Mo 0.000 0.500 0.500
C1 C 0.500 0.500 0.500



Record 7
# PBE CaPmMgSn, optimized geometry
# formation energy from the elements: -0.41 eV per atom
# total magnetic moment: 0.00 μB per formula unit
data_CaPmMgSn
_chemical_formula_sum 'Ca4 Pm4 Mg4 Sn4'
_cell_length_a 7.674
_cell_length_b 7.674
_cell_length_c 7.674
_cell_angle_alpha 90.00
_cell_angle_beta 90.00
_cell_angle_gamma 90.00
_symmetry_space_group_name_H-M 'F -4 3 m'
_symmetry_Int_Tables_number 216
_symmetry_space_group_name_Hall 'F -4 2 3'
loop_
_atom_site_label
_atom_site_type_symbol
_atom_site_fract_x
_atom_site_fract_y
_atom_site_fract_z
Ca1 Ca 0.000 0.000 0.000
Pm1 Pm 0.000 0.000 0.500
Mg1 Mg 0.250 0.250 0.250
Sn1 Sn 0.250 0.250 0.750



Record 8
# PBE Ta4Cu3, optimized geometry
# offset from the most stable computed form: 72 kJ/mol of formula units
# formation energy from the elements: 0.15 eV per atom
# total magnetic moment: 0.00 μB per formula unit
data_Ta4Cu3
_chemical_formula_sum 'Ta8 Cu6'
_cell_length_a 3.293
_cell_length_b 3.293
_cell_length_c 20.447
_cell_angle_alpha 90.00
_cell_angle_beta 90.00
_cell_angle_gamma 90.00
_symmetry_space_group_name_H-M 'I 4/m m m'
_symmetry_Int_Tables_number 139
_symmetry_space_group_name_Hall '-I 4 2'
loop_
_atom_site_label
_atom_site_type_symbol
_atom_site_fract_x
_atom_site_fract_y
_atom_site_fract_z
Ta1 Ta 0.000 0.000 0.070
Ta2 Ta 0.000 0.000 0.351
Cu1 Cu 0.000 0.000 0.220
Cu2 Cu 0.000 0.000 0.500



Record 9
# PBE PtAuNO2, optimized geometry
# total magnetic moment: 0.22 μB per formula unit
# energy relative to the elements, uncorrected: 891 meV per atom
data_PtAuNO2
_chemical_formula_sum 'Pt1 Au1 N1 O2'
_cell_length_a 4.202
_cell_length_b 4.202
_cell_length_c 3.689
_cell_angle_alpha 90.00
_cell_angle_beta 90.00
_cell_angle_gamma 90.00
_symmetry_space_group_name_H-M 'P 4/m m m'
_symmetry_Int_Tables_number 123
_symmetry_space_group_name_Hall '-P 4 2'
loop_
_atom_site_label
_atom_site_type_symbol
_atom_site_fract_x
_atom_site_fract_y
_atom_site_fract_z
Pt1 Pt 0.000 0.000 0.000
Au1 Au 0.500 0.500 0.500
N1 N 0.000 0.000 0.500
O1 O 0.000 0.500 0.000



Record 10
# PBE TcSbIrPd2, optimized geometry
# total magnetic moment: 1.37 μB per formula unit
# energy relative to the elements, uncorrected: 1081 meV per atom
data_TcSbIrPd2
_chemical_formula_sum 'Tc1 Sb1 Ir1 Pd2'
_cell_length_a 4.928
_cell_length_b 4.928
_cell_length_c 4.595
_cell_angle_alpha 90.00
_cell_angle_beta 90.00
_cell_angle_gamma 90.00
_symmetry_space_group_name_H-M 'P 4/m m m'
_symmetry_Int_Tables_number 123
_symmetry_space_group_name_Hall '-P 4 2'
loop_
_atom_site_label
_atom_site_type_symbol
_atom_site_fract_x
_atom_site_fract_y
_atom_site_fract_z
Tc1 Tc 0.000 0.000 0.000
Sb1 Sb 0.500 0.500 0.000
Ir1 Ir 0.000 0.000 0.500
Pd1 Pd 0.000 0.500 0.500



Record 11
# PBE TiB3Pd, optimized geometry
# offset from the most stable computed form: 172 kJ/mol of formula units
# formation energy from the elements: 1.55 eV per atom
# total magnetic moment: 0.00 μB per formula unit
data_TiB3Pd
_chemical_formula_sum 'Ti1 B3 Pd1'
_cell_length_a 4.065
_cell_length_b 4.065
_cell_length_c 4.065
_cell_angle_alpha 90.00
_cell_angle_beta 90.00
_cell_angle_gamma 90.00
_symmetry_space_group_name_H-M 'P m -3 m'
_symmetry_Int_Tables_number 221
_symmetry_space_group_name_Hall '-P 4 2 3'
loop_
_atom_site_label
_atom_site_type_symbol
_atom_site_fract_x
_atom_site_fract_y
_atom_site_fract_z
Ti1 Ti 0.000 0.000 0.000
B1 B 0.000 0.000 0.500
Pd1 Pd 0.500 0.500 0.500



Record 12
# PBE Ga3RhO, optimized geometry
# offset from the most stable computed form: 0 kJ/mol of formula units
# total magnetic moment: 0.00 μB per formula unit
# energy relative to the elements, uncorrected: -182 meV per atom
data_Ga3RhO
_chemical_formula_sum 'Ga3 Rh1 O1'
_cell_length_a 4.199
_cell_length_b 4.199
_cell_length_c 4.199
_cell_angle_alpha 90.00
_cell_angle_beta 90.00
_cell_angle_gamma 90.00
_symmetry_space_group_name_H-M 'P m -3 m'
_symmetry_Int_Tables_number 221
_symmetry_space_group_name_Hall '-P 4 2 3'
loop_
_atom_site_label
_atom_site_type_symbol
_atom_site_fract_x
_atom_site_fract_y
_atom_site_fract_z
Ga1 Ga 0.000 0.000 0.500
Rh1 Rh 0.500 0.500 0.500
O1 O 0.000 0.000 0.000



Record 13
# PBE CoPb, optimized geometry
# formation energy from the elements: 0.57 eV per atom
# total magnetic moment: 1.15 μB per formula unit
data_CoPb
_chemical_formula_sum 'Co2 Pb2'
_cell_length_a 4.446
_cell_length_b 4.971
_cell_length_c 3.303
_cell_angle_alpha 90.00
_cell_angle_beta 90.00
_cell_angle_gamma 90.00
_symmetry_space_group_name_H-M 'C m m m'
_symmetry_Int_Tables_number 65
_symmetry_space_group_name_Hall '-C 2 2'
loop_
_atom_site_label
_atom_site_type_symbol
_atom_site_fract_x
_atom_site_fract_y
_atom_site_fract_z
Co1 Co 0.000 0.000 0.000
Pb1 Pb 0.000 0.500 0.500



Record 14
# PBE MgRe3Si, optimized geometry
# offset from the most stable computed form: 757 kJ/mol of formula units
# total magnetic moment: 0.00 μB per formula unit
# energy relative to the elements, uncorrected: 2644 meV per atom
data_MgRe3Si
_chemical_formula_sum 'Mg1 Re3 Si1'
_cell_length_a 4.459
_cell_length_b 4.459
_cell_length_c 4.459
_cell_angle_alpha 90.00
_cell_angle_beta 90.00
_cell_angle_gamma 90.00
_symmetry_space_group_name_H-M 'P m -3 m'
_symmetry_Int_Tables_number 221
_symmetry_space_group_name_Hall '-P 4 2 3'
loop_
_atom_site_label
_atom_site_type_symbol
_atom_site_fract_x
_atom_site_fract_y
_atom_site_fract_z
Mg1 Mg 0.000 0.000 0.000
Re1 Re 0.000 0.000 0.500
Si1 Si 0.500 0.500 0.500



Record 15
# PBE YSi3Br, optimized geometry
# offset from the most stable computed form: 0 kJ/mol of formula units
# total magnetic moment: 0.00 μB per formula unit
# energy relative to the elements, uncorrected: 820 meV per atom
data_YSi3Br
_chemical_formula_sum 'Y1 Si3 Br1'
_cell_length_a 4.930
_cell_length_b 4.930
_cell_length_c 4.930
_cell_angle_alpha 90.00
_cell_angle_beta 90.00
_cell_angle_gamma 90.00
_symmetry_space_group_name_H-M 'P m -3 m'
_symmetry_Int_Tables_number 221
_symmetry_space_group_name_Hall '-P 4 2 3'
loop_
_atom_site_label
_atom_site_type_symbol
_atom_site_fract_x
_atom_site_fract_y
_atom_site_fract_z
Y1 Y 0.000 0.000 0.000
Si1 Si 0.000 0.500 0.500
Br1 Br 0.500 0.500 0.500



Record 16
# PBE Ac3CuRh, optimized geometry
# offset from the most stable computed form: 0 kJ/mol of formula units
# formation energy from the elements: -0.31 eV per atom
# total magnetic moment: 0.00 μB per formula unit
data_Ac3CuRh
_chemical_formula_sum 'Ac12 Cu4 Rh4'
_cell_length_a 15.281
_cell_length_b 4.296
_cell_length_c 11.562
_cell_angle_alpha 90.00
_cell_angle_beta 115.37
_cell_angle_gamma 90.00
_symmetry_space_group_name_H-M 'C 1 2/m 1'
_symmetry_Int_Tables_number 12
_symmetry_space_group_name_Hall '-C 2y'
loop_
_atom_site_label
_atom_site_type_symbol
_atom_site_fract_x
_atom_site_fract_y
_atom_site_fract_z
Ac1 Ac 0.032 0.000 0.353
Ac2 Ac 0.125 0.500 0.964
Ac3 Ac 0.219 0.500 0.672
Cu1 Cu 0.112 0.500 0.233
Rh1 Rh 0.171 0.000 0.812



Record 17
# PBE YLuCuPt, optimized geometry
# formation energy from the elements: -0.80 eV per atom
# total magnetic moment: 0.00 μB per formula unit
data_YLuCuPt
_chemical_formula_sum 'Y4 Lu4 Cu4 Pt4'
_cell_length_a 6.899
_cell_length_b 6.899
_cell_length_c 6.899
_cell_angle_alpha 90.00
_cell_angle_beta 90.00
_cell_angle_gamma 90.00
_symmetry_space_group_name_H-M 'F -4 3 m'
_symmetry_Int_Tables_number 216
_symmetry_space_group_name_Hall 'F -4 2 3'
loop_
_atom_site_label
_atom_site_type_symbol
_atom_site_fract_x
_atom_site_fract_y
_atom_site_fract_z
Y1 Y 0.000 0.000 0.000
Lu1 Lu 0.000 0.000 0.500
Cu1 Cu 0.250 0.250 0.250
Pt1 Pt 0.250 0.250 0.750



Record 18
# PBE Pm3Be2HgPd9, optimized geometry
# formation energy from the elements: -0.50 eV per atom
# total magnetic moment: 0.00 μB per formula unit
data_Pm3Be2HgPd9
_chemical_formula_sum 'Pm3 Be2 Hg1 Pd9'
_cell_length_a 6.8499
_cell_length_b 6.8499
_cell_length_c 7.0989
_cell_angle_alpha 90.00
_cell_angle_beta 90.00
_cell_angle_gamma 120.00
_symmetry_space_group_name_H-M 'P -3 m 1'
_symmetry_Int_Tables_number 164
_symmetry_space_group_name_Hall '-P 3 2"'
loop_
_atom_site_label
_atom_site_type_symbol
_atom_site_fract_x
_atom_site_fract_y
_atom_site_fract_z
Pm1 Pm 0.0000 0.0000 0.0000
Pm2 Pm 0.3333 0.6667 0.6667
Be1 Be 0.3333 0.6667 0.1211
Hg1 Hg 0.0000 0.0000 0.5000
Pd1 Pd 0.0000 0.5000 0.0000
Pd2 Pd 0.1926 0.3853 0.3182



Record 19
# PBE Ac2Se2IO2, optimized geometry
# total magnetic moment: 0.00 μB per formula unit
# energy relative to the elements, uncorrected: -1991 meV per atom
data_Ac2Se2IO2
_chemical_formula_sum 'Ac2 Se2 I1 O2'
_cell_length_a 4.2504
_cell_length_b 4.2504
_cell_length_c 12.7435
_cell_angle_alpha 90.00
_cell_angle_beta 90.00
_cell_angle_gamma 120.00
_symmetry_space_group_name_H-M 'P -3 m 1'
_symmetry_Int_Tables_number 164
_symmetry_space_group_name_Hall '-P 3 2"'
loop_
_atom_site_label
_atom_site_type_symbol
_atom_site_fract_x
_atom_site_fract_y
_atom_site_fract_z
Ac1 Ac 0.3333 0.6667 0.1251
Se1 Se 0.0000 0.0000 0.2896
I1 I 0.0000 0.0000 0.5000
O1 O 0.3333 0.6667 0.9274



Record 20
# PBE Zr2BeRu2, optimized geometry
# formation energy from the elements: -0.26 eV per atom
# total magnetic moment: 0.00 μB per formula unit
data_Zr2BeRu2
_chemical_formula_sum 'Zr4 Be2 Ru4'
_cell_length_a 6.325
_cell_length_b 6.325
_cell_length_c 4.205
_cell_angle_alpha 90.00
_cell_angle_beta 90.00
_cell_angle_gamma 90.00
_symmetry_space_group_name_H-M 'P 4/m b m'
_symmetry_Int_Tables_number 127
_symmetry_space_group_name_Hall '-P 4 2ab'
loop_
_atom_site_label
_atom_site_type_symbol
_atom_site_fract_x
_atom_site_fract_y
_atom_site_fract_z
Zr1 Zr 0.177 0.323 0.000
Be1 Be 0.000 0.000 0.500
Ru1 Ru 0.145 0.645 0.500